1.
The following is a PBE calculation of a relaxed Ce2CoRu crystal, from Alexandria via LeMat-Bulk.

Properties
**N(E_F)**: 22.5 states/eV per cell
**Crystal system**: orthorhombic
**Formation energy**: -274 meV/atom
**Volume**: 20.080 Å³ per atom
**Raw total energy**: -7.336 eV per atom

Unit cell a=9.2915 b=4.4518 c=7.7671 alpha=90.00 beta=90.00 gamma=90.00
Last column: nearest neighbours and their distance in Å.
Space group Pnma (No. 62)
Asymmetric unit:
Ce  0.0029  0.2500  0.2405 x4  3 Co 2.61-2.87, 3 Ru 2.75-2.87
Ce  0.2484  0.2500  0.9227 x4  3 Co 2.82-2.99, 3 Ru 2.92-2.94
Co  0.1005  0.7500  0.1079 x4  4 Ce 2.61-2.87, 1 Ru 2.79
Ru  0.0996  0.2500  0.5909 x4  6 Ce 2.75-2.94, 2 Co 2.79-2.99

---

2.
The following is a PBE calculation of a relaxed CaAcTb crystal, from Alexandria via LeMat-Bulk.

Properties
**N(E_F)**: 3.7 states/eV per cell
**Energy above the lowest structure with this stoichiometry**: 0.04 eV per formula unit
**Crystal system**: trigonal
**Formation energy**: 62 meV/atom
**Volume**: 39.195 Å³ per atom
**Raw total energy**: -3.518 eV per atom

Unit cell a=3.8160 b=3.8160 c=9.3241 alpha=90.00 beta=90.00 gamma=120.00
Last column: nearest neighbours and their distance in Å.
Space group P3m1 (No. 156)
Asymmetric unit:
Ca  0.0000  0.0000  0.0000 x1  3 Tb 3.76, 6 Ca 3.82, 3 Ac 4.01
Ac  0.3333  0.6667  0.6409 x1  3 Tb 3.66, 6 Ac 3.82, 3 Ca 4.01
Tb  0.6667  0.3333  0.3268 x1  3 Ac 3.66, 3 Ca 3.76, 6 Tb 3.82

---

3.
The following is a PBE calculation of a relaxed SmGa4Au2 crystal, from Alexandria via LeMat-Bulk.

Properties
**N(E_F)**: 7.5 states/eV per cell
**Energy above the lowest structure with this stoichiometry**: 0.73 eV per formula unit
**Crystal system**: tetragonal
**Formation energy**: -399 meV/atom
**Volume**: 20.079 Å³ per atom
**Raw total energy**: -3.740 eV per atom

Unit cell a=8.2083 b=8.2083 c=4.1721 alpha=90.00 beta=90.00 gamma=90.00
Last column: nearest neighbours and their distance in Å.
Space group P4_2/mnm (No. 136)
Asymmetric unit:
Sm  0.0000  0.0000  0.0000 x2  6 Au 3.15-3.44, 8 Ga 3.52
Ga  0.0852  0.3346  0.5000 x8  3 Au 2.60-2.73, 1 Ga 2.90
Au  0.2035  0.7965  0.5000 x4  6 Ga 2.60-2.73

---

4.
The following is a PBE calculation of a relaxed BaCaPdPb2 crystal, from Alexandria via LeMat-Bulk.

Properties
**N(E_F)**: 2.0 states/eV per cell
**Crystal system**: tetragonal
**Formation energy**: -375 meV/atom
**Volume**: 33.303 Å³ per atom
**Raw total energy**: -3.681 eV per atom

Unit cell a=5.5576 b=5.5576 c=5.3912 alpha=90.00 beta=90.00 gamma=90.00
Last column: nearest neighbours and their distance in Å.
Space group P4/mmm (No. 123)
Asymmetric unit:
Ba  0.0000  0.0000  0.0000 x1  8 Pb 3.87, 4 Ca 3.93
Ca  0.5000  0.5000  0.0000 x1  2 Pd 2.70
Pd  0.5000  0.5000  0.5000 x1  2 Ca 2.70, 4 Pb 2.78
Pb  0.0000  0.5000  0.5000 x2  2 Pd 2.78

---

5.
The following is a PBE calculation of a relaxed TbYBi2 crystal, from Alexandria via LeMat-Bulk.

Properties
**N(E_F)**: 1.4 states/eV per cell
**Energy above the lowest structure with this stoichiometry**: 0.00 eV per formula unit
**Crystal system**: monoclinic
**Formation energy**: -889 meV/atom
**Volume**: 31.967 Å³ per atom
**Raw total energy**: -5.603 eV per atom

Unit cell a=7.7707 b=4.4931 c=7.7727 alpha=90.00 beta=109.55 gamma=90.00
Last column: nearest neighbours and their distance in Å.
Space group C2/m (No. 12)
Asymmetric unit:
Tb  0.0000  0.0000  0.0000 x2  6 Bi 3.18
Y  0.0000  0.5000  0.5000 x2  6 Bi 3.17
Bi  0.2498  0.0000  0.7496 x4  3 Y 3.17, 3 Tb 3.18

---

6.
The following is a PBE calculation of a relaxed Tb6Ho3Tm2Mg crystal, from Alexandria via LeMat-Bulk.

Properties
**N(E_F)**: 30.9 states/eV per cell
**Crystal system**: monoclinic
**Formation energy**: 29 meV/atom
**Volume**: 30.697 Å³ per atom
**Raw total energy**: -4.309 eV per atom

Unit cell a=6.1036 b=10.5822 c=11.5906 alpha=90.00 beta=100.22 gamma=90.00
Last column: nearest neighbours and their distance in Å.
Space group C2/m (No. 12)
Asymmetric unit:
Tb  0.2480  0.0000  0.2487 x4  2 Tm 3.48, 1 Mg 3.50, 3 Ho 3.51, 6 Tb 3.52-3.53
Tb  0.2481  0.3333  0.2475 x8  1 Mg 3.48, 2 Tm 3.48-3.49, 6 Tb 3.52-3.53, 3 Ho 3.53
Ho  0.0000  0.0000  0.5000 x2  6 Tb 3.51-3.53, 6 Ho 3.52-3.53
Ho  0.0000  0.3337  0.5000 x4  6 Tb 3.51-3.53, 6 Ho 3.52-3.53
Tm  0.0000  0.1661  0.0000 x4  6 Tb 3.48-3.49, 3 Tm 3.52-3.53, 3 Mg 3.52-3.53
Mg  0.0000  0.5000  0.0000 x2  6 Tb 3.48-3.50, 6 Tm 3.52-3.53

---

7.
The following is a PBE calculation of a relaxed FeMo2 crystal, from Alexandria via LeMat-Bulk.

Properties
**N(E_F)**: 32.7 states/eV per cell
**Crystal system**: cubic
**Formation energy**: 582 meV/atom
**Volume**: 16.042 Å³ per atom
**Raw total energy**: -9.460 eV per atom

Unit cell a=7.2749 b=7.2749 c=7.2749 alpha=90.00 beta=90.00 gamma=90.00
Last column: nearest neighbours and their distance in Å.
Space group Fd-3m (No. 227, origin choice 2)
Asymmetric unit:
Fe  0.1250  0.1250  0.1250 x8  12 Mo 3.02, 4 Fe 3.15
Mo  0.0000  0.0000  0.5000 x16  6 Mo 2.57

---

8.
The following is a PBE calculation of a relaxed Sm5Sb4O crystal, from Alexandria via LeMat-Bulk.

Properties
**N(E_F)**: 5.1 states/eV per cell
**Uncorrected formation energy**: -1.358 eV/atom
**Crystal system**: tetragonal
**Volume**: 29.137 Å³ per atom
**Raw total energy**: -5.863 eV per atom

Unit cell a=9.6244 b=9.6244 c=6.2912 alpha=90.00 beta=90.00 gamma=90.00
Last column: nearest neighbours and their distance in Å.
Space group I4 (No. 79)
Asymmetric unit:
Sm  0.0000  0.0000  0.0000 x2  1 O 2.19
Sm  0.0983  0.2780  0.4123 x8  1 O 2.87, 5 Sb 3.10-3.16
Sb  0.0900  0.3030  0.9116 x8  6 Sm 3.09-3.16
O  0.0000  0.0000  0.3484 x2  1 Sm 2.19